Entry 1:
This record from Alexandria via LeMat-Bulk describes crystalline Cu2TeBr at its relaxed geometry. The functional is PBE-GGA.

Cell lengths 3.8193, 7.8867, 3.4944 Å; angles 90.00, 90.00, 90.00 degrees
Element x y z (fractional)
Cu 0.5000 0.5000 0.0000
Cu 0.0000 0.0000 0.0000
Te 0.5000 0.0000 0.5000
Br 0.0000 0.5000 0.5000

Results
Energy above the lowest structure with this stoichiometry = 31.1 kJ per mole of atoms
M_tot = 0.000 μB per formula unit
Calculated volume = 105.3 Å³/cell

***

Entry 2:
This record from Alexandria via LeMat-Bulk describes crystalline Cu2TeBr at its relaxed geometry. The functional is PBE-GGA.

Cell lengths 3.2033, 5.0032, 5.0032 Å; angles 90.00, 90.00, 90.00 degrees
Element x y z (fractional)
Te 0.5000 0.5000 0.0000
Br 0.5000 0.0000 0.5000
Cu 0.0000 0.5000 0.5000
Cu 0.0000 0.0000 0.0000

Results
Energy above the lowest structure with this stoichiometry = 50.5 kJ per mole of atoms
M_tot = 0.000 μB per formula unit
Calculated volume = 80.2 Å³/cell

***

Entry 3:
This record from Alexandria via LeMat-Bulk describes crystalline CuTeBr2 at its relaxed geometry. The functional is PBE-GGA.

Cell lengths 8.6595, 8.6595, 8.6595 Å; angles 153.33, 153.33, 38.08 degrees
Element x y z (fractional)
Br 0.2500 0.7500 0.5000
Te 0.7500 0.2500 0.5000
Cu 0.5000 0.5000 0.0000
Br 0.0000 0.0000 0.0000

Results
Raw total energy = -2.374 eV/atom
M_tot = 0.000 μB per formula unit
Calculated volume = 130.6 Å³/cell

***

Entry 4:
This record from Alexandria via LeMat-Bulk describes crystalline CuTeBr2 at its relaxed geometry. The functional is PBE-GGA.

Cell lengths 3.5481, 3.5481, 8.2401 Å; angles 90.00, 90.00, 90.00 degrees
Element x y z (fractional)
Cu 0.0000 0.0000 0.5356
Br 0.5000 0.5000 0.3366
Br 0.0000 0.0000 0.9426
Te 0.5000 0.5000 0.6852

Results
Raw total energy = -2.501 eV/atom
M_tot = 0.000 μB per formula unit
Calculated volume = 103.7 Å³/cell